First-principles (PBE-GGA) data for a geometry-optimized AgOsAu2 structure, as listed in Alexandria via LeMat-Bulk.

Unit cell a=10.0113 b=10.0113 c=10.0113 alpha=157.31 beta=157.31 gamma=32.30
Positions (direct):
Ag (0.0000, 0.0000, 0.0000)
Ag (0.7500, 0.2500, 0.5000)
Os (0.2500, 0.7500, 0.5000)
Os (0.5000, 0.5000, 0.0000)
Au (0.1315, 0.6250, 0.0065)
Au (0.3750, 0.3815, 0.5065)
Au (0.6185, 0.1250, 0.9935)
Au (0.8750, 0.8685, 0.4935)

Values from the calculation:
* formation energy from the elements: 967 meV/atom
* energy above the lowest structure with this stoichiometry: 608 meV per atom
* electronic total energy: -33.532 eV/cell
* Fermi-level density of states: 7.2 states/eV per cell
* total moment: 1.76 μB per formula unit